The following is a PBE calculation of a geometry-optimized CePmNiPb structure, from the Alexandria database.

The structure in POSCAR format:
```
CePmNiPb
1.0
-4.8119 -1.7152 -1.3793
-0.4999 -4.1004 -3.3069
-1.7677 -4.6509 1.8008
Pb Ni Ce Pm
1 1 1 1
Cartesian
-3.5397 -5.2332 -1.4427
0.0000 0.0000 0.0000
-5.3096 -7.8499 -2.1640
-1.7699 -2.6166 -0.7213
```

The total energy is -5.221 eV/atom.



The following is a PBE calculation of a geometry-optimized PmTm5Ag4 structure, from the Alexandria database.

The structure in POSCAR format:
```
PmTm5Ag4
1.0
3.5622 0.0000 0.0000
0.0000 3.5622 0.0000
0.0000 0.0000 19.6035
Pm Tm Ag
1 5 4
Cartesian
0.0000 0.0000 0.0000
1.7811 1.7811 2.5307
1.7811 1.7811 6.1453
1.7811 1.7811 9.8018
1.7811 1.7811 13.4582
1.7811 1.7811 17.0729
0.0000 0.0000 4.3241
0.0000 0.0000 7.9824
0.0000 0.0000 11.6211
0.0000 0.0000 15.2794
```

The total energy is -4.112 eV/atom.